Here is LiLaVSn2 after structural relaxation from Alexandria via LeMat-Bulk. Energies are from PBE. Values from VASP.

* total energy: -4.778 eV per atom
* formation energy from the elements: 0.015 eV/atom

```
&SYSTEM
  ibrav = 0, nat = 5, ntyp = 4
/
ATOMIC_SPECIES
Sn 118.71 Sn.upf
V 50.94 V.upf
Li 6.94 Li.upf
La 138.91 La.upf
CELL_PARAMETERS angstrom
5.2522 0.0000 0.0000
0.0000 5.0935 0.0000
0.0000 0.0000 5.2522
ATOMIC_POSITIONS crystal
Sn 0.0000 0.0000 0.5000
Sn 0.5000 0.0000 0.0000
V 0.0000 0.0000 0.0000
Li 0.5000 0.5000 0.5000
La 0.0000 0.5000 0.0000
```

Here is TmIn2Ni after structural relaxation from Alexandria via LeMat-Bulk. Energies are from PBE. Values from VASP.

* total energy: -4.330 eV per atom
* formation energy from the elements: -0.398 eV/atom

```
&SYSTEM
  ibrav = 0, nat = 32, ntyp = 3
/
ATOMIC_SPECIES
In 114.82 In.upf
Tm 168.93 Tm.upf
Ni 58.69 Ni.upf
CELL_PARAMETERS angstrom
-5.0885 -1.5944 1.6262
1.2474 -6.7523 -2.7169
5.9781 -4.6054 14.1909
ATOMIC_POSITIONS crystal
In 0.7544 0.9522 0.5349
In 0.9707 0.4505 0.2147
In 0.0293 0.5495 0.7853
Tm 0.9601 0.7500 0.3579
Ni 0.0116 0.7500 0.9271
In 0.4707 0.5495 0.2853
In 0.2544 0.0478 0.9651
Tm 0.2434 0.7500 0.1082
Ni 0.4884 0.7500 0.4271
Tm 0.5399 0.7500 0.8579
In 0.9707 0.0495 0.2147
Tm 0.2566 0.7500 0.6082
Tm 0.7566 0.2500 0.8918
Tm 0.7434 0.2500 0.3918
In 0.7544 0.5478 0.5349
In 0.2456 0.4522 0.4651
Ni 0.2699 0.2500 0.8259
Ni 0.9884 0.2500 0.0729
Tm 0.0399 0.2500 0.6421
Ni 0.7699 0.7500 0.6741
In 0.2456 0.0478 0.4651
In 0.7456 0.5478 0.0349
In 0.0293 0.9505 0.7853
In 0.4707 0.9505 0.2853
In 0.7456 0.9522 0.0349
Tm 0.4601 0.2500 0.1421
Ni 0.5116 0.2500 0.5729
In 0.2544 0.4522 0.9651
Ni 0.7301 0.7500 0.1741
In 0.5293 0.0495 0.7147
Ni 0.2301 0.2500 0.3259
In 0.5293 0.4505 0.7147
```

Here is MoAs4 after structural relaxation from Alexandria via LeMat-Bulk. Energies are from PBE. Values from VASP.

* total energy: -5.497 eV per atom
* formation energy from the elements: 0.389 eV/atom

```
&SYSTEM
  ibrav = 0, nat = 5, ntyp = 2
/
ATOMIC_SPECIES
Mo 95.94 Mo.upf
As 74.92 As.upf
CELL_PARAMETERS angstrom
0.4941 -5.0749 -0.8972
-1.9538 0.7327 4.7380
-3.1823 2.0728 -3.5185
ATOMIC_POSITIONS crystal
Mo 0.0000 0.0000 0.0000
As 0.5000 0.0000 0.0000
As 0.5000 0.5000 0.5000
As 0.0000 0.0000 0.5000
As 0.0000 0.5000 0.0000
```

Here is RbPrP3HO10 after structural relaxation from Alexandria via LeMat-Bulk. Energies are from PBE. Values from VASP.

* total energy: -7.094 eV per atom

```
&SYSTEM
  ibrav = 0, nat = 32, ntyp = 5
/
ATOMIC_SPECIES
P 30.97 P.upf
O 16.00 O.upf
Rb 85.47 Rb.upf
H 1.01 H.upf
Pr 140.91 Pr.upf
CELL_PARAMETERS angstrom
7.1669 -0.0009 -0.1084
1.0078 7.9120 -0.3500
2.4825 2.3286 8.0883
ATOMIC_POSITIONS crystal
P 0.8222 0.3083 0.3439
P 0.8303 0.2400 0.8093
O 0.5382 0.8441 0.3386
O 0.7029 0.4000 0.7555
Rb 0.7049 0.7192 0.0252
O 0.7826 0.0785 0.7457
O 0.2424 0.8386 0.0025
O 0.9601 0.3717 0.4214
O 0.9028 0.2956 0.1696
O 0.7576 0.1614 0.9975
H 0.8129 0.2120 0.0727
P 0.1697 0.7600 0.1907
Pr 0.7283 0.6339 0.5099
O 0.6315 0.4241 0.3735
O 0.3535 0.1460 0.3331
O 0.3685 0.5759 0.6265
O 0.2971 0.6000 0.2445
O 0.0475 0.2559 0.7548
O 0.2246 0.8899 0.5506
O 0.2174 0.9215 0.2543
P 0.6504 0.0486 0.6342
Pr 0.2717 0.3661 0.4901
O 0.0972 0.7044 0.8304
P 0.3496 0.9514 0.3658
O 0.6465 0.8540 0.6669
Rb 0.2951 0.2808 0.9748
O 0.4618 0.1559 0.6614
P 0.1778 0.6917 0.6561
O 0.7754 0.1101 0.4494
O 0.9525 0.7441 0.2452
H 0.1871 0.7880 0.9273
O 0.0399 0.6283 0.5786
```